Crystalline Ta2GaSbTe at its relaxed geometry, computed with PBE.

abc: 5.1660 5.1660 5.7931
angles: 90.00 90.00 90.00
Space group P4/mmm (No. 123)
One atom of each set of equivalent atoms:
Ta (0.0000, 0.5000, 0.0000) [2 per cell]
Ga (0.0000, 0.0000, 0.5000) [1 per cell]
Sb (0.5000, 0.5000, 0.0000) [1 per cell]
Te (0.5000, 0.5000, 0.5000) [1 per cell]

formation energy (no corrections): 39.94 kcal/mol of atoms
crystal system: tetragonal
spin magnetization: 1.38 μB per formula unit